(1)
Material: SrCu2SnRu
Method: DFT, PBE-GGA
State: optimized geometry

As for the formation energy: 1924 meV/atom.

The space group is P4/mmm (No. 123) and the conventional cell measures 4.888, 4.888 and 5.872 Å, with angles of 90.00, 90.00 and 90.00 degrees. The asymmetric unit holds Sr at (0.000, 0.000, 0.000), Cu at (0.000, 0.500, 0.000), Sn at (0.000, 0.000, 0.500) and Ru at (0.500, 0.500, 0.500).

---

(2)
Material: ZnCu4Si
Method: DFT, PBE-GGA
State: optimized geometry

The uncorrected formation energy comes out at 0.008 eV/atom. Its excess energy over the best structure of this formula in the dataset is 0.002 eV/atom.

The space group is C2/c (No. 15) and the conventional cell measures 6.515, 10.624 and 4.758 Å, with angles of 90.00, 110.33 and 90.00 degrees. The asymmetric unit holds Zn at (0.000, 0.096, 0.250), Cu at (0.095, 0.307, 0.541), Cu at (0.205, 0.120, 0.874) and Si at (0.000, 0.499, 0.750).

---

Computed ρ (kg/m³) in order:
5142 7477